Computed, not measured: a geometry-optimized Pr6Co2Cl3O structure at the GGA+U level of DFT.

Space-group type: No. 12
VASP energy (eV per atom): -5.16
Total magnetic moment (μB per atom): 0.055
Crystal system: monoclinic

Lattice parameters (Å, degrees): 9.7305 9.7305 8.6559 111.06 111.06 22.64
Positions (direct):
Pr1 0.0057 0.0057 0.2050
Pr2 0.3246 0.3246 0.4494
Pr3 0.3515 0.3515 0.9032
Pr4 0.6485 0.6485 0.0968
Pr5 0.6754 0.6754 0.5506
Pr6 0.9943 0.9943 0.7950
Co1 0.1587 0.1587 0.3194
Co2 0.8413 0.8413 0.6806
Cl1 0.1738 0.1738 0.8333
Cl2 0.5000 0.5000 0.5000
Cl3 0.8262 0.8262 0.1667
O1 0.5000 0.5000 0.0000